a:
Density functional theory data (PBE) for a geometry-optimized Al5Co3 structure.

## Properties
Theoretical density (g/cm³): 4.924

Lattice parameters (Å, degrees): 6.983 6.983 4.979 90.00 90.00 120.00
Fractional positions:
Co 0.603 0.000 0.250
Co 0.397 0.000 0.750
Co 0.000 0.603 0.250
Co 0.397 0.397 0.250
Co 0.603 0.603 0.750
Co 0.000 0.397 0.750
Al 0.333 0.667 0.000
Al 0.667 0.333 0.500
Al 0.667 0.333 0.000
Al 0.333 0.667 0.500
Al 0.246 0.000 0.250
Al 0.754 0.000 0.750
Al 0.000 0.246 0.250
Al 0.754 0.754 0.250
Al 0.246 0.246 0.750
Al 0.000 0.754 0.750



b:
Density functional theory data (PBE) for a geometry-optimized Al5Co3 structure.

## Properties
Theoretical density (g/cm³): 4.959

Lattice parameters (Å, degrees): 6.944 6.943 6.866 95.90 95.90 138.75
Last column: magnetic moment on the atom in μB.
Fractional positions:
Co 0.754 0.746 0.000  0.08
Co 0.246 0.254 0.000  0.08
Co 0.330 0.169 0.500  -0.01
Co 0.669 0.831 0.500  -0.01
Co 0.111 0.612 0.837  -0.01
Co 0.888 0.389 0.163  -0.01
Al 0.253 0.754 0.509  0.00
Al 0.746 0.246 0.491  0.00
Al 0.776 0.069 0.856  0.00
Al 0.224 0.932 0.145  0.00
Al 0.701 0.556 0.294  0.00
Al 0.298 0.445 0.707  0.00
Al 0.568 0.276 0.855  0.00
Al 0.431 0.724 0.144  0.00
Al 0.055 0.201 0.293  0.00
Al 0.944 0.798 0.706  0.00



Short version: b is the most stable of them.